[1]
KCuSi2 | SCAN | PBEsol geometry

Summary:
energy above the lowest structure with this stoichiometry = 0.000 eV per atom
space-group type = R-3m (166)
total magnetic moment = 0.00 μB per atom
density of states at the Fermi level = 0.56 states/eV per cell

Lattice parameters (Å, degrees): 3.9052 3.9052 6.8607 73.46 73.46 60.00
Sites, in units of the cell vectors:
Si 0.7044 0.7044 0.8869
Si 0.2956 0.2956 0.1131
K 0.5000 0.5000 0.5000
Cu 0.0000 0.0000 0.0000

[2]
KCu2Si | SCAN | PBEsol geometry

Summary:
DFT total energy = -0.43734 hartree per atom
space-group type = P4mm (99)
total magnetic moment = 0.00 μB per atom
density of states at the Fermi level = 1.10 states/eV per cell

Lattice parameters (Å, degrees): 3.0305 3.0305 7.6803 90.00 90.00 90.00
Sites, in units of the cell vectors:
Cu 0.5000 0.5000 0.1593
Cu 0.0000 0.0000 0.0006
K 0.0000 0.0000 0.5035
Si 0.5000 0.5000 0.8366

[3]
KCuSi2 | SCAN | PBEsol geometry

Summary:
energy above the lowest structure with this stoichiometry = 0.017 eV per atom
space-group type = R3m (160)
total magnetic moment = 0.00 μB per atom
density of states at the Fermi level = 0.48 states/eV per cell

Lattice parameters (Å, degrees): 3.8957 3.8957 6.9773 73.79 73.79 60.00
Sites, in units of the cell vectors:
K 0.7544 0.7544 0.7369
Si 0.9566 0.9566 0.1303
Si 0.2153 0.2153 0.3542
Cu 0.5794 0.5794 0.2617

[4]
KCu2Si | SCAN | PBEsol geometry

Summary:
DFT total energy = -0.45062 hartree per atom
space-group type = R-3m (166)
total magnetic moment = 0.00 μB per atom
density of states at the Fermi level = 1.73 states/eV per cell

Lattice parameters (Å, degrees): 4.0938 4.0902 6.3025 108.91 90.00 120.03
Sites, in units of the cell vectors:
Cu 0.3212 0.6425 0.4632
Cu 0.6788 0.3575 0.5368
Si 0.0000 0.0000 0.5000
K 0.5000 0.0000 0.0000

[5]
KCu2Si | SCAN | PBEsol geometry

Summary:
DFT total energy = -0.44970 hartree per atom
space-group type = Cm (8)
total magnetic moment = 0.00 μB per atom
density of states at the Fermi level = 1.91 states/eV per cell

Lattice parameters (Å, degrees): 4.1049 4.1204 6.0460 96.84 90.00 119.88
Sites, in units of the cell vectors:
K 0.5749 0.1499 0.5070
Cu 0.6448 0.2897 0.0137
Cu 0.9739 0.9477 0.9901
Si 0.3064 0.6127 0.9892

[6]
K2CuSi | SCAN | PBEsol geometry

Summary:
DFT total energy = -0.36231 hartree per atom
space-group type = Cmmm (65)
total magnetic moment = 0.00 μB per atom
density of states at the Fermi level = 2.60 states/eV per cell

Lattice parameters (Å, degrees): 3.6736 5.4658 5.7293 118.49 90.00 90.00
Sites, in units of the cell vectors:
Cu 0.5000 0.0000 0.0000
Si 0.5000 0.5000 0.0000
K 0.0000 0.5000 0.5000
K 0.0000 0.0000 0.5000

[7]
KCu2SnW | SCAN | PBEsol geometry

Summary:
energy of formation from the pure elements = 1.785 eV/atom
space-group type = P4/mmm (123)
total magnetic moment = 0.00 μB per atom
density of states at the Fermi level = 4.79 states/eV per cell

Lattice parameters (Å, degrees): 4.7447 4.7447 5.2516 90.00 90.00 90.00
Sites, in units of the cell vectors:
W 0.0000 0.0000 0.0000
Cu 0.5000 0.0000 0.0000
Cu 0.0000 0.5000 0.0000
K 0.0000 0.0000 0.5000
Sn 0.5000 0.5000 0.5000

[8]
K2SrCu | SCAN | PBEsol geometry

Summary:
energy above the lowest structure with this stoichiometry = 0.000 eV per atom
energy of formation from the pure elements = 0.290 eV/atom
space-group type = Cmmm (65)
total magnetic moment = 0.00 μB per atom
density of states at the Fermi level = 2.21 states/eV per cell

Lattice parameters (Å, degrees): 4.4394 6.1870 7.5394 114.21 90.00 90.00
Sites, in units of the cell vectors:
K 0.0000 0.3361 0.1723
K 0.0000 0.6639 0.8277
Sr 0.5000 0.0000 0.5000
Cu 0.5000 0.5000 0.5000

[9]
K2SrCu | SCAN | PBEsol geometry

Summary:
energy above the lowest structure with this stoichiometry = 0.069 eV per atom
energy of formation from the pure elements = 0.359 eV/atom
space-group type = P4/mmm (123)
total magnetic moment = 0.03 μB per atom
density of states at the Fermi level = 2.72 states/eV per cell

Lattice parameters (Å, degrees): 4.0075 4.0075 10.7137 90.00 90.00 90.00
Sites, in units of the cell vectors:
K 0.0000 0.0000 0.3278
K 0.0000 0.0000 0.6722
Sr 0.5000 0.5000 0.0000
Cu 0.5000 0.5000 0.5000

[10]
KSr4Cu | SCAN | PBEsol geometry

Summary:
energy of formation from the pure elements = 0.665 eV/atom
space-group type = F-43m (216)
total magnetic moment = 0.07 μB per atom
density of states at the Fermi level = 6.90 states/eV per cell

Lattice parameters (Å, degrees): 7.6195 7.6195 7.6195 60.00 60.00 60.00
Sites, in units of the cell vectors:
Cu 0.7500 0.7500 0.7500
Sr 0.3754 0.3754 0.3754
Sr 0.8737 0.3754 0.3754
Sr 0.3754 0.8737 0.3754
Sr 0.3754 0.3754 0.8737
K 0.0000 0.0000 0.0000

Which of these has the highest density of states at the Fermi level? KSr4Cu